## BaAl3I (PBE)

Data for an optimized crystal structure of BaAl3I.

abc: 5.764 5.764 5.764
angles: 90.00 90.00 90.00
Space group Pm-3m (No. 221)
Inequivalent atoms, fractional coordinates:
Ba1 0.000 0.000 0.000 [1 per cell]
Al1 0.000 0.500 0.500 [3 per cell]
I1 0.500 0.500 0.500 [1 per cell]

Properties
Uncorrected energy   -11.88 eV per cell
Raw formation energy   563.2 meV per atom
Density of states at the Fermi level   3.83 states/eV/cell